(1)
# Tb2NiHg PBE relaxed
# E, eV for the cell shown: -16.65
# Energy above the lowest structure with this stoichiometry, meV/atom: 104.7
# ΔH_f (0 K), kcal/mol of atoms: -7.5
# D(E_F), states/eV/atom: 0.950
# Symmetry: R3m, No. 160
data_Tb2NiHg
_symmetry_space_group_name_H-M 'P 1'
_symmetry_Int_Tables_number 1
_cell_length_a 3.959
_cell_length_b 3.959
_cell_length_c 7.899
_cell_angle_alpha 75.49
_cell_angle_beta 75.49
_cell_angle_gamma 60.00
loop_
_symmetry_equiv_pos_as_xyz
'x,y,z'
loop_
_atom_site_label
_atom_site_type_symbol
_atom_site_fract_x
_atom_site_fract_y
_atom_site_fract_z
Hg1 Hg 0.501 0.501 0.498
Ni1 Ni 0.666 0.666 0.003
Tb1 Tb 0.066 0.066 0.801
Tb2 Tb 0.267 0.267 0.198

(2)
# PmGePt PBE relaxed
# E, eV for the cell shown: -149.88
# Energy above the lowest structure with this stoichiometry, meV/atom: 0.0
# ΔH_f (0 K), kcal/mol of atoms: -25.6
# D(E_F), states/eV/atom: 0.359
# Symmetry: Pmmn, No. 59
data_PmGePt
_symmetry_space_group_name_H-M 'P 1'
_symmetry_Int_Tables_number 1
_cell_length_a 4.464
_cell_length_b 7.663
_cell_length_c 14.531
_cell_angle_alpha 90.00
_cell_angle_beta 90.00
_cell_angle_gamma 90.00
loop_
_symmetry_equiv_pos_as_xyz
'x,y,z'
loop_
_atom_site_label
_atom_site_type_symbol
_atom_site_fract_x
_atom_site_fract_y
_atom_site_fract_z
Ge1 Ge 0.000 0.590 0.150
Pt1 Pt 0.000 0.583 0.349
Pm1 Pm 0.000 0.293 0.500
Pt2 Pt 0.000 0.583 0.651
Pt3 Pt 0.500 0.079 0.608
Pm2 Pm 0.500 0.704 0.500
Ge2 Ge 0.000 0.590 0.850
Pm3 Pm 0.500 0.791 0.747
Pt4 Pt 0.000 0.921 0.892
Ge3 Ge 0.000 0.911 0.405
Pm4 Pm 0.000 0.209 0.247
Pm5 Pm 0.500 0.791 0.253
Ge4 Ge 0.500 0.410 0.650
Ge5 Ge 0.500 0.089 0.905
Pm6 Pm 0.000 0.209 0.753
Pt5 Pt 0.000 0.921 0.108
Pt6 Pt 0.500 0.079 0.392
Pm7 Pm 0.000 0.296 0.000
Ge6 Ge 0.500 0.089 0.095
Ge7 Ge 0.000 0.911 0.595
Ge8 Ge 0.500 0.410 0.350
Pt7 Pt 0.500 0.417 0.151
Pt8 Pt 0.500 0.417 0.849
Pm8 Pm 0.500 0.707 0.000

(3)
# Pm4Sb2SN2 PBE relaxed
# E, eV for the cell shown: -60.06
# Formation energy (no corrections), meV per atom: -1338
# D(E_F), states/eV/atom: 0.092
# Symmetry: C2/m, No. 12
data_Pm4Sb2SN2
_symmetry_space_group_name_H-M 'P 1'
_symmetry_Int_Tables_number 1
_cell_length_a 4.178
_cell_length_b 8.007
_cell_length_c 7.809
_cell_angle_alpha 111.37
_cell_angle_beta 105.52
_cell_angle_gamma 90.00
loop_
_symmetry_equiv_pos_as_xyz
'x,y,z'
loop_
_atom_site_label
_atom_site_type_symbol
_atom_site_fract_x
_atom_site_fract_y
_atom_site_fract_z
Sb1 Sb 0.106 0.541 0.211
N1 N 0.675 0.993 0.350
Sb2 Sb 0.894 0.459 0.789
Pm1 Pm 0.526 0.783 0.052
Pm2 Pm 0.216 0.143 0.432
S1 S 0.000 0.000 0.000
Pm3 Pm 0.474 0.217 0.948
Pm4 Pm 0.784 0.857 0.568
N2 N 0.325 0.007 0.650

(4)
# PaTaSn PBE relaxed
# E, eV for the cell shown: -24.91
# Energy above the lowest structure with this stoichiometry, meV/atom: 168.4
# ΔH_f (0 K), kcal/mol of atoms: 3.4
# D(E_F), states/eV/atom: 1.269
# Symmetry: I4mm, No. 107
data_PaTaSn
_symmetry_space_group_name_H-M 'P 1'
_symmetry_Int_Tables_number 1
_cell_length_a 3.436
_cell_length_b 3.436
_cell_length_c 6.362
_cell_angle_alpha 105.67
_cell_angle_beta 105.67
_cell_angle_gamma 90.00
loop_
_symmetry_equiv_pos_as_xyz
'x,y,z'
loop_
_atom_site_label
_atom_site_type_symbol
_atom_site_fract_x
_atom_site_fract_y
_atom_site_fract_z
Ta1 Ta 0.343 0.343 0.686
Sn1 Sn 0.978 0.978 0.956
Pa1 Pa 0.679 0.679 0.358

(5)
# AcPd3 PBE relaxed
# E, eV for the cell shown: -67.72
# ΔH_f (0 K), kcal/mol of atoms: -16.6
# D(E_F), states/eV/atom: 0.583
# Symmetry: R-3m, No. 166
data_AcPd3
_symmetry_space_group_name_H-M 'P 1'
_symmetry_Int_Tables_number 1
_cell_length_a 5.546
_cell_length_b 5.546
_cell_length_c 9.771
_cell_angle_alpha 89.98
_cell_angle_beta 106.50
_cell_angle_gamma 120.01
loop_
_symmetry_equiv_pos_as_xyz
'x,y,z'
loop_
_atom_site_label
_atom_site_type_symbol
_atom_site_fract_x
_atom_site_fract_y
_atom_site_fract_z
Ac1 Ac 0.725 0.862 0.587
Pd1 Pd 0.334 0.918 0.749
Pd2 Pd 0.666 0.333 0.999
Pd3 Pd 0.831 0.415 0.749
Pd4 Pd 0.334 0.667 0.001
Ac2 Ac 0.000 0.000 0.000
Pd5 Pd 0.666 0.082 0.251
Ac3 Ac 0.275 0.138 0.413
Pd6 Pd 0.169 0.585 0.251
Pd7 Pd 0.334 0.416 0.750
Pd8 Pd 0.000 0.500 0.500
Pd9 Pd 0.666 0.584 0.250

(6)
# MnCd2SbC PBE relaxed
# E, eV for the cell shown: -19.46
# Formation energy (no corrections), meV per atom: 978
# D(E_F), states/eV/atom: 0.517
# Symmetry: P4/mmm, No. 123
data_MnCd2SbC
_symmetry_space_group_name_H-M 'P 1'
_symmetry_Int_Tables_number 1
_cell_length_a 4.361
_cell_length_b 5.560
_cell_length_c 4.361
_cell_angle_alpha 90.00
_cell_angle_beta 90.00
_cell_angle_gamma 90.00
loop_
_symmetry_equiv_pos_as_xyz
'x,y,z'
loop_
_atom_site_label
_atom_site_type_symbol
_atom_site_fract_x
_atom_site_fract_y
_atom_site_fract_z
Mn1 Mn 0.500 0.500 0.500
Cd1 Cd 0.500 0.000 0.000
Cd2 Cd 0.000 0.000 0.500
Sb1 Sb 0.000 0.500 0.000
C1 C 0.000 0.000 0.000

(7)
# K2NaPtF6 PBE relaxed
# E, eV for the cell shown: -41.99
# Formation energy (no corrections), meV per atom: -2121
# D(E_F), states/eV/atom: 0.558
# Symmetry: P-3m1, No. 164
data_K2NaPtF6
_symmetry_space_group_name_H-M 'P 1'
_symmetry_Int_Tables_number 1
_cell_length_a 5.857
_cell_length_b 5.977
_cell_length_c 5.977
_cell_angle_alpha 120.00
_cell_angle_beta 90.00
_cell_angle_gamma 90.00
loop_
_symmetry_equiv_pos_as_xyz
'x,y,z'
loop_
_atom_site_label
_atom_site_type_symbol
_atom_site_fract_x
_atom_site_fract_y
_atom_site_fract_z
K1 K 0.841 0.667 0.333
F1 F 0.782 0.160 0.840
F2 F 0.782 0.680 0.840
F3 F 0.218 0.840 0.680
F4 F 0.782 0.160 0.320
K2 K 0.159 0.333 0.667
Na1 Na 0.500 0.000 0.000
Pt1 Pt 0.000 0.000 0.000
F5 F 0.218 0.320 0.160
F6 F 0.218 0.840 0.160

(8)
# AlCoNi2P PBE relaxed
# E, eV for the cell shown: -25.11
# ΔH_f (0 K), kcal/mol of atoms: 12.5
# D(E_F), states/eV/atom: 1.255
# Symmetry: P4/mmm, No. 123
data_AlCoNi2P
_symmetry_space_group_name_H-M 'P 1'
_symmetry_Int_Tables_number 1
_cell_length_a 4.388
_cell_length_b 4.026
_cell_length_c 4.388
_cell_angle_alpha 90.00
_cell_angle_beta 90.00
_cell_angle_gamma 90.00
loop_
_symmetry_equiv_pos_as_xyz
'x,y,z'
loop_
_atom_site_label
_atom_site_type_symbol
_atom_site_fract_x
_atom_site_fract_y
_atom_site_fract_z
Al1 Al 0.500 0.500 0.500
Co1 Co 0.000 0.000 0.000
Ni1 Ni 0.500 0.000 0.000
P1 P 0.000 0.500 0.000
Ni2 Ni 0.000 0.000 0.500

(9)
# LaPr3Al4O12 PBE relaxed
# E, eV for the cell shown: -158.83
# Formation energy (no corrections), meV per atom: -3255
# D(E_F), states/eV/atom: 0.000
# Symmetry: P-42m, No. 111
data_LaPr3Al4O12
_symmetry_space_group_name_H-M 'P 1'
_symmetry_Int_Tables_number 1
_cell_length_a 5.366
_cell_length_b 5.366
_cell_length_c 7.646
_cell_angle_alpha 90.00
_cell_angle_beta 90.00
_cell_angle_gamma 90.00
loop_
_symmetry_equiv_pos_as_xyz
'x,y,z'
loop_
_atom_site_label
_atom_site_type_symbol
_atom_site_fract_x
_atom_site_fract_y
_atom_site_fract_z
O1 O 0.500 0.000 0.500
Al1 Al 0.500 0.000 0.750
O2 O 0.787 0.787 0.752
La1 La 0.000 0.000 0.500
O3 O 0.288 0.288 0.250
O4 O 0.712 0.712 0.250
Pr1 Pr 0.500 0.500 0.500
O5 O 0.500 0.000 0.000
O6 O 0.213 0.213 0.752
Pr2 Pr 0.500 0.500 0.000
Pr3 Pr 0.000 0.000 0.000
O7 O 0.288 0.712 0.750
Al2 Al 0.000 0.500 0.250
O8 O 0.213 0.787 0.248
Al3 Al 0.500 0.000 0.250
O9 O 0.712 0.288 0.750
O10 O 0.787 0.213 0.248
O11 O 0.000 0.500 0.000
O12 O 0.000 0.500 0.500
Al4 Al 0.000 0.500 0.750

(10)
# BaV3Ag PBE relaxed
# E, eV for the cell shown: -20.34
# Energy above the lowest structure with this stoichiometry, meV/atom: 1040.2
# ΔH_f (0 K), kcal/mol of atoms: 54.4
# D(E_F), states/eV/atom: 0.733
# Symmetry: Pm-3m, No. 221
data_BaV3Ag
_symmetry_space_group_name_H-M 'P 1'
_symmetry_Int_Tables_number 1
_cell_length_a 4.770
_cell_length_b 4.770
_cell_length_c 4.770
_cell_angle_alpha 90.00
_cell_angle_beta 90.00
_cell_angle_gamma 90.00
loop_
_symmetry_equiv_pos_as_xyz
'x,y,z'
loop_
_atom_site_label
_atom_site_type_symbol
_atom_site_fract_x
_atom_site_fract_y
_atom_site_fract_z
V1 V 0.500 0.000 0.000
Ag1 Ag 0.500 0.500 0.500
V2 V 0.000 0.500 0.000
V3 V 0.000 0.000 0.500
Ba1 Ba 0.000 0.000 0.000

(11)
# Tm6Ge2PbS3 PBE relaxed
# E, eV for the cell shown: -67.74
# Formation energy (no corrections), meV per atom: -1298
# D(E_F), states/eV/atom: 0.294
# Symmetry: C2/m, No. 12
data_Tm6Ge2PbS3
_symmetry_space_group_name_H-M 'P 1'
_symmetry_Int_Tables_number 1
_cell_length_a 4.011
_cell_length_b 8.151
_cell_length_c 9.051
_cell_angle_alpha 103.41
_cell_angle_beta 102.80
_cell_angle_gamma 90.00
loop_
_symmetry_equiv_pos_as_xyz
'x,y,z'
loop_
_atom_site_label
_atom_site_type_symbol
_atom_site_fract_x
_atom_site_fract_y
_atom_site_fract_z
Ge1 Ge 0.165 0.332 0.331
S1 S 0.833 0.169 0.667
Ge2 Ge 0.835 0.668 0.669
Tm1 Tm 0.670 0.580 0.340
Pb1 Pb 0.500 0.000 0.000
Tm2 Tm 0.330 0.420 0.660
Tm3 Tm 0.000 0.271 0.999
S2 S 0.500 0.500 0.000
S3 S 0.167 0.831 0.333
Tm4 Tm 0.000 0.729 0.001
Tm5 Tm 0.326 0.908 0.652
Tm6 Tm 0.674 0.092 0.348

(12)
# ZrSc PBE relaxed
# E, eV for the cell shown: -85.98
# ΔH_f (0 K), kcal/mol of atoms: 6.3
# D(E_F), states/eV/atom: 1.511
# Symmetry: P6_3/m, No. 176
data_ZrSc
_symmetry_space_group_name_H-M 'P 1'
_symmetry_Int_Tables_number 1
_cell_length_a 10.743
_cell_length_b 10.743
_cell_length_c 3.101
_cell_angle_alpha 90.00
_cell_angle_beta 90.00
_cell_angle_gamma 120.00
loop_
_symmetry_equiv_pos_as_xyz
'x,y,z'
loop_
_atom_site_label
_atom_site_type_symbol
_atom_site_fract_x
_atom_site_fract_y
_atom_site_fract_z
Zr1 Zr 0.476 0.865 0.750
Zr2 Zr 0.865 0.389 0.250
Sc1 Sc 0.061 0.300 0.750
Sc2 Sc 0.300 0.239 0.250
Zr3 Zr 0.524 0.135 0.250
Zr4 Zr 0.389 0.524 0.750
Zr5 Zr 0.135 0.611 0.750
Zr6 Zr 0.611 0.476 0.250
Sc3 Sc 0.761 0.061 0.250
Sc4 Sc 0.939 0.700 0.250
Sc5 Sc 0.239 0.939 0.750
Sc6 Sc 0.700 0.761 0.750

(13)
# Ta2BeCl PBE relaxed
# E, eV for the cell shown: -28.05
# Energy above the lowest structure with this stoichiometry, meV/atom: 206.9
# Formation energy (no corrections), meV per atom: 308
# D(E_F), states/eV/atom: 0.533
# Symmetry: Pm, No. 6
data_Ta2BeCl
_symmetry_space_group_name_H-M 'P 1'
_symmetry_Int_Tables_number 1
_cell_length_a 4.572
_cell_length_b 2.871
_cell_length_c 4.984
_cell_angle_alpha 73.05
_cell_angle_beta 90.00
_cell_angle_gamma 90.00
loop_
_symmetry_equiv_pos_as_xyz
'x,y,z'
loop_
_atom_site_label
_atom_site_type_symbol
_atom_site_fract_x
_atom_site_fract_y
_atom_site_fract_z
Ta1 Ta 0.500 0.171 0.283
Be1 Be 0.000 0.583 0.463
Cl1 Cl 0.500 0.912 0.801
Ta2 Ta 0.000 0.834 0.954

(14)
# SrAcLaCd PBE relaxed
# E, eV for the cell shown: -12.19
# Energy above the lowest structure with this stoichiometry, meV/atom: 0.0
# ΔH_f (0 K), kcal/mol of atoms: -3.2
# D(E_F), states/eV/atom: 1.552
# Symmetry: P4mm, No. 99
data_SrAcLaCd
_symmetry_space_group_name_H-M 'P 1'
_symmetry_Int_Tables_number 1
_cell_length_a 3.946
_cell_length_b 3.946
_cell_length_c 9.911
_cell_angle_alpha 90.00
_cell_angle_beta 90.00
_cell_angle_gamma 90.00
loop_
_symmetry_equiv_pos_as_xyz
'x,y,z'
loop_
_atom_site_label
_atom_site_type_symbol
_atom_site_fract_x
_atom_site_fract_y
_atom_site_fract_z
La1 La 0.500 0.500 0.360
Cd1 Cd 0.000 0.000 0.556
Ac1 Ac 0.000 0.000 0.095
Sr1 Sr 0.500 0.500 0.773

(15)
# CePr6Y4 PBE relaxed
# E, eV for the cell shown: -117.98
# ΔH_f (0 K), kcal/mol of atoms: 3.1
# D(E_F), states/eV/atom: 2.125
# Symmetry: Cmcm, No. 63
data_CePr6Y4
_symmetry_space_group_name_H-M 'P 1'
_symmetry_Int_Tables_number 1
_cell_length_a 5.925
_cell_length_b 5.726
_cell_length_c 26.291
_cell_angle_alpha 90.00
_cell_angle_beta 90.00
_cell_angle_gamma 121.15
loop_
_symmetry_equiv_pos_as_xyz
'x,y,z'
loop_
_atom_site_label
_atom_site_type_symbol
_atom_site_fract_x
_atom_site_fract_y
_atom_site_fract_z
Pr1 Pr 0.124 0.248 0.181
Y1 Y 0.540 0.080 0.624
Y2 Y 0.152 0.304 0.044
Ce1 Ce 0.791 0.582 0.250
Pr2 Pr 0.803 0.606 0.100
Y3 Y 0.152 0.304 0.456
Y4 Y 0.848 0.696 0.544
Y5 Y 0.460 0.920 0.376
Y6 Y 0.848 0.696 0.956
Pr3 Pr 0.197 0.394 0.600
Pr4 Pr 0.803 0.606 0.400
Pr5 Pr 0.453 0.905 0.250
Pr6 Pr 0.876 0.752 0.681
Pr7 Pr 0.547 0.095 0.750
Pr8 Pr 0.197 0.394 0.900
Ce2 Ce 0.209 0.418 0.750
Y7 Y 0.460 0.920 0.124
Y8 Y 0.540 0.080 0.876
Pr9 Pr 0.500 0.000 0.000
Pr10 Pr 0.124 0.248 0.319
Pr11 Pr 0.500 0.000 0.500
Pr12 Pr 0.876 0.752 0.819

(16)
# Pr2YBi3 PBE relaxed
# E, eV for the cell shown: -66.54
# Energy above the lowest structure with this stoichiometry, meV/atom: 0.0
# ΔH_f (0 K), kcal/mol of atoms: -21.5
# D(E_F), states/eV/atom: 0.189
# Symmetry: C2/m, No. 12
data_Pr2YBi3
_symmetry_space_group_name_H-M 'P 1'
_symmetry_Int_Tables_number 1
_cell_length_a 7.955
_cell_length_b 7.955
_cell_length_c 7.947
_cell_angle_alpha 99.61
_cell_angle_beta 99.61
_cell_angle_gamma 120.01
loop_
_symmetry_equiv_pos_as_xyz
'x,y,z'
loop_
_atom_site_label
_atom_site_type_symbol
_atom_site_fract_x
_atom_site_fract_y
_atom_site_fract_z
Pr1 Pr 0.833 0.167 0.500
Bi1 Bi 0.592 0.925 0.758
Y1 Y 0.001 0.999 0.000
Pr2 Pr 0.333 0.667 0.000
Pr3 Pr 0.169 0.831 0.500
Bi2 Bi 0.415 0.087 0.244
Pr4 Pr 0.498 0.502 0.500
Bi3 Bi 0.913 0.585 0.756
Y2 Y 0.666 0.334 0.000
Bi4 Bi 0.252 0.246 0.756
Bi5 Bi 0.754 0.748 0.244
Bi6 Bi 0.075 0.408 0.242